This record from Alexandria via LeMat-Bulk describes a relaxed structure of Ba3Li5H12. The functional is GGA-PBE.

Summary:
The total energy comes out at -3.019 eV per atom. The calculation puts the density of states at the Fermi level at 63.73 states/eV/cell.

abc: 13.2767 13.2767 13.2767
angles: 90.00 90.00 90.00
Space group Ia-3d (No. 230)
Unique sites:
Ba 0.0000 0.2500 0.1250 x24
Li 0.0000 0.0000 0.0000 x16
Li 0.0000 0.2500 0.3750 x24
H 0.0340 0.0493 0.6464 x96